BaPaMnS4 | PBE | relaxed

The structure belongs to space group Imma (No. 74); the cell edges are 8.8346, 9.1659 and 9.1482 Å and the angles 90.00°, 90.00° and 90.00°. The distinct sites, in fractional coordinates, are Ba at (0.0000, 0.2500, 0.1565), Pa at (0.2500, 0.2500, 0.7500), Mn at (0.0000, 0.0000, 0.5000), S at (0.0000, 0.0697, 0.7678) and S at (0.1829, 0.2500, 0.4686).

Its total energy is -6.6580 eV/atom. The spin magnetization is 4.0 μB/f.u. The formation energy (no corrections) is -1358 meV per atom.

---

BaPaMn2S8 | PBE | relaxed

The structure belongs to space group P-3 (No. 147); the cell edges are 6.2081, 6.2081 and 8.8729 Å and the angles 90.00°, 90.00° and 120.00°. The distinct sites, in fractional coordinates, are Ba at (0.0000, 0.0000, 0.0000), Pa at (0.0000, 0.0000, 0.5000), Mn at (0.3333, 0.6667, 0.7540), S at (0.0018, 0.6685, 0.3116) and S at (0.3333, 0.6667, 0.9871).

Its total energy is -6.0972 eV/atom. The spin magnetization is 5.0 μB/f.u. The formation energy (no corrections) is -866 meV per atom.

---

Ba2PaMnSe5 | PBE | relaxed

The structure belongs to space group Cmc2_1 (No. 36); the cell edges are 4.3369, 18.7881 and 13.3853 Å and the angles 90.00°, 90.00° and 90.00°. The distinct sites, in fractional coordinates, are Ba at (0.0000, 0.1134, 0.0000), Ba at (0.0000, 0.1203, 0.6344), Pa at (0.0000, 0.1996, 0.3291), Mn at (0.0000, 0.4360, 0.7498), Se at (0.0000, 0.0502, 0.3481), Se at (0.0000, 0.2948, 0.9705), Se at (0.0000, 0.3058, 0.6838), Se at (0.0000, 0.3479, 0.3191) and Se at (0.0000, 0.4985, 0.5881).

Its total energy is -5.9369 eV/atom. The spin magnetization is 4.0 μB/f.u. The formation energy (no corrections) is -1500 meV per atom.

---

BaPaMnSe4 | PBE | relaxed

The structure belongs to space group P2_1/m (No. 11); the cell edges are 6.7447, 6.8007 and 8.9285 Å and the angles 90.00°, 108.39° and 90.00°. The distinct sites, in fractional coordinates, are Ba at (0.2420, 0.2500, 0.0548), Pa at (0.2324, 0.2500, 0.5556), Mn at (0.2329, 0.7500, 0.3281), Se at (0.0270, 0.5152, 0.7145), Se at (0.4304, 0.7500, 0.1422) and Se at (0.4574, 0.7500, 0.5978).

Its total energy is -6.1928 eV/atom. The spin magnetization is 4.0 μB/f.u. The formation energy (no corrections) is -1260 meV per atom.

---

Ba3PaMn2Se9 | PBE | relaxed

The structure belongs to space group P-3m1 (No. 164); the cell edges are 7.3279, 7.3279 and 8.9732 Å and the angles 90.00°, 90.00° and 120.00°. The distinct sites, in fractional coordinates, are Ba at (0.0000, 0.0000, 0.0000), Ba at (0.3333, 0.6667, 0.6875), Pa at (0.0000, 0.0000, 0.5000), Mn at (0.3333, 0.6667, 0.1540), Se at (0.0000, 0.5000, 0.0000) and Se at (0.1740, 0.3480, 0.3233).

Its total energy is -5.5807 eV/atom. The spin magnetization is 7.9 μB/f.u. The formation energy (no corrections) is -1250 meV per atom.

---

Ba2PaMnTe5 | PBE | relaxed

The structure belongs to space group Cmc2_1 (No. 36); the cell edges are 4.6029, 20.1845 and 14.1214 Å and the angles 90.00°, 90.00° and 90.00°. The distinct sites, in fractional coordinates, are Ba at (0.0000, 0.1158, 0.0000), Ba at (0.0000, 0.1190, 0.6313), Pa at (0.0000, 0.1992, 0.3268), Mn at (0.0000, 0.4306, 0.7494), Te at (0.0000, 0.0499, 0.3513), Te at (0.0000, 0.2955, 0.9727), Te at (0.0000, 0.3031, 0.6762), Te at (0.0000, 0.3492, 0.3170) and Te at (0.0000, 0.4971, 0.5858).

Its total energy is -5.3560 eV/atom. The spin magnetization is 4.0 μB/f.u. The formation energy (no corrections) is -1109 meV per atom.